# 1
This record from Alexandria via LeMat-Bulk describes an optimized crystal structure of MgAg6Pb. The functional is PBE.

Cell and atoms, written as CIF:
```
data_MgAg6Pb
_cell_length_a 4.8147
_cell_length_b 6.4815
_cell_length_c 9.9950
_cell_angle_alpha 90.00
_cell_angle_beta 90.00
_cell_angle_gamma 90.00
_space_group_name_H-M_alt 'A m m 2'
_space_group_IT_number 38
loop_
_space_group_symop_operation_xyz
'x,y,z'
'-x,-y,z'
'-x,y,z'
'x,-y,z'
'x,y+1/2,z+1/2'
'-x,-y+1/2,z+1/2'
'-x,y+1/2,z+1/2'
'x,-y+1/2,z+1/2'
loop_
_atom_site_label
_atom_site_type_symbol
_atom_site_fract_x
_atom_site_fract_y
_atom_site_fract_z
_atom_site_occupancy
Mg1 Mg 0.0000 0.0000 0.0000 1
Ag1 Ag 0.0000 0.0000 0.4972 1
Ag2 Ag 0.0000 0.2284 0.7430 1
Ag3 Ag 0.5000 0.0000 0.8168 1
Ag4 Ag 0.5000 0.2462 0.5603 1
Pb1 Pb 0.5000 0.0000 0.3063 1
```

Results
Energy of formation from the pure elements (meV/atom): 7
DFT total energy (eV per atom): -2.794



# 2
This record from Alexandria via LeMat-Bulk describes an optimized crystal structure of Mg2Ag2Pb. The functional is PBE.

Cell and atoms, written as CIF:
```
data_Mg2Ag2Pb
_cell_length_a 3.9434
_cell_length_b 3.9434
_cell_length_c 14.7636
_cell_angle_alpha 90.00
_cell_angle_beta 90.00
_cell_angle_gamma 90.00
_space_group_name_H-M_alt 'I 4/m m m'
_space_group_IT_number 139
_space_group_name_Hall '-I 4 2'
loop_
_atom_site_label
_atom_site_type_symbol
_atom_site_fract_x
_atom_site_fract_y
_atom_site_fract_z
_atom_site_occupancy
Mg1 Mg 0.0000 0.0000 0.1084 1
Ag1 Ag 0.0000 0.5000 0.2500 1
Pb1 Pb 0.0000 0.0000 0.5000 1
```

Results
E above lowest polymorph (eV/f.u.): 0.63
Energy of formation from the pure elements (meV/atom): 7
DFT total energy (eV per atom): -2.513



# 3
This record from Alexandria via LeMat-Bulk describes an optimized crystal structure of Mg2AgPb2. The functional is PBE.

Cell and atoms, written as CIF:
```
data_Mg2AgPb2
_cell_length_a 7.6919
_cell_length_b 7.6919
_cell_length_c 4.4201
_cell_angle_alpha 90.00
_cell_angle_beta 90.00
_cell_angle_gamma 90.00
_space_group_name_H-M_alt 'P 4/m b m'
_space_group_IT_number 127
_space_group_name_Hall '-P 4 2ab'
loop_
_atom_site_label
_atom_site_type_symbol
_atom_site_fract_x
_atom_site_fract_y
_atom_site_fract_z
_atom_site_occupancy
Mg1 Mg 0.1553 0.3447 0.0000 1
Ag1 Ag 0.0000 0.0000 0.5000 1
Pb1 Pb 0.1492 0.6492 0.5000 1
```

Results
E above lowest polymorph (eV/f.u.): 0.24
Energy of formation from the pure elements (meV/atom): 78
DFT total energy (eV per atom): -2.613



Number 1: V 311.91 Å³ per cell, size of the total moment 0.00 μB per cell, D(E_F) 7.01 states/eV per cell. Number 2: V 229.58 Å³ per cell, size of the total moment 0.00 μB per cell, D(E_F) 4.97 states/eV per cell. Number 3: V 261.52 Å³ per cell, size of the total moment 0.00 μB per cell, D(E_F) 4.03 states/eV per cell.